LiScAu, optimized geometry, DFT PBEsol; crystal system = tetragonal; ΔE to the lowest computed polymorph = 0.0000 eV per atom; final energy = -14.1 eV per formula unit; formation enthalpy at 0 K = -1.58 eV per formula unit
1.0
-3.437 -0.364 -0.252
0.409 -1.860 -2.895
1.725 -2.527 3.941
Au Sc Li
1 1 1
Direct
0.999 0.999 0.998 Au
0.657 0.657 0.314 Sc
0.344 0.344 0.688 Li